1.
The following is a DFT calculation (PBE) of a relaxed AlAu6 crystal.

Unit cell a=7.509 b=7.509 c=7.509 alpha=90.00 beta=90.00 gamma=90.00
Atoms (fractional coordinates):
Al (0.000, 0.000, 0.000)
Al (0.500, 0.500, 0.500)
Au (0.000, 0.250, 0.500)
Au (0.000, 0.500, 0.250)
Au (0.000, 0.500, 0.750)
Au (0.000, 0.750, 0.500)
Au (0.250, 0.000, 0.500)
Au (0.250, 0.500, 0.000)
Au (0.500, 0.000, 0.250)
Au (0.500, 0.000, 0.750)
Au (0.500, 0.250, 0.000)
Au (0.500, 0.750, 0.000)
Au (0.750, 0.000, 0.500)
Au (0.750, 0.500, 0.000)

Properties
- N(E_F): 0.203 states/eV per atom
- ΔE_f: 4.75 eV per formula unit
- Volume: 423.4 Å³/cell
- Total energy: -2.66 eV/atom
- ΔE to the lowest computed polymorph: 763 meV per atom

2.
The following is a DFT calculation (PBE) of a relaxed CsTl3Cl8 crystal.

Unit cell a=7.851 b=7.851 c=10.439 alpha=90.00 beta=90.00 gamma=120.00
Atoms (fractional coordinates):
Cs (0.000, 0.000, 0.000)
Tl (0.000, 0.000, 0.500)
Tl (0.333, 0.667, 0.800)
Tl (0.667, 0.333, 0.200)
Cl (0.161, 0.323, 0.721)
Cl (0.161, 0.839, 0.721)
Cl (0.323, 0.161, 0.279)
Cl (0.333, 0.667, 0.035)
Cl (0.667, 0.333, 0.965)
Cl (0.677, 0.839, 0.721)
Cl (0.839, 0.161, 0.279)
Cl (0.839, 0.677, 0.279)

Properties
- N(E_F): 0.000 states/eV per atom
- Volume: 557.2 Å³/cell
- Total energy: -2.87 eV/atom

3.
The following is a DFT calculation (PBE) of a relaxed RbTl2HgTe2 crystal.

Unit cell a=7.524 b=12.944 c=5.159 alpha=90.00 beta=90.00 gamma=90.00
Atoms (fractional coordinates):
Rb (0.000, 0.000, 0.000)
Rb (0.500, 0.500, 0.500)
Tl (0.228, 0.194, 0.500)
Tl (0.272, 0.694, 0.000)
Tl (0.728, 0.306, 0.000)
Tl (0.772, 0.806, 0.500)
Hg (0.000, 0.500, 0.000)
Hg (0.500, 0.000, 0.500)
Te (0.205, 0.838, 0.500)
Te (0.295, 0.338, 0.000)
Te (0.705, 0.662, 0.000)
Te (0.795, 0.162, 0.500)

Properties
- N(E_F): 0.252 states/eV per atom
- Volume: 502.4 Å³/cell
- Total energy: -2.41 eV/atom